(1)
{
  "formula": "Fe2Se",
  "functional": "GGA-PBE",
  "state": "optimized geometry",
  "dft_energy_ev_per_cell": -39.2,
  "magmom_total_mub_per_cell": 10.0,
  "spacegroup": "P6_3/mmc",
  "relative_energy_ev_per_atom": 0.4162,
  "formation_energy_uncorrected_ev_per_atom": 0.275,
  "crystal_system": "hexagonal",
  "lattice": [[-0.738, 2.454, -3.407], [-3.205, -1.042, 2.611], [0.935, 4.200, 2.822]],
  "species": ["Fe", "Fe", "Fe", "Fe", "Se", "Se"],
  "frac_coords": [[0.000, 0.000, 0.000], [0.000, 0.000, 0.500], [0.333, 0.667, 0.750], [0.667, 0.333, 0.250], [0.333, 0.667, 0.250], [0.667, 0.333, 0.750]]
}

***

(2)
{
  "formula": "NaSc2Co",
  "functional": "GGA-PBE",
  "state": "optimized geometry",
  "dft_energy_ev_per_cell": -20.3,
  "magmom_total_mub_per_cell": 0.0,
  "spacegroup": "Fm-3m",
  "relative_energy_ev_per_atom": 0.1485,
  "e_form_kcal_per_mol_atoms": 4.81,
  "crystal_system": "cubic",
  "lattice": [[3.199, -0.999, 3.336], [1.025, 3.201, 3.326], [-1.383, -0.706, 4.466]],
  "species": ["Sc", "Sc", "Na", "Co"],
  "frac_coords": [[0.250, 0.250, 0.250], [0.750, 0.750, 0.750], [0.000, 0.000, 0.000], [0.500, 0.500, 0.500]]
}

***

(3)
{
  "formula": "LiCo5",
  "functional": "GGA-PBE",
  "state": "optimized geometry",
  "dft_energy_ev_per_cell": -36.7,
  "magmom_total_mub_per_cell": 8.1,
  "spacegroup": "Cmmm",
  "relative_energy_ev_per_atom": 0.0353,
  "e_form_kcal_per_mol_atoms": 2.87,
  "crystal_system": "orthorhombic",
  "lattice": [[2.591, 0.000, 0.000], [0.000, 4.128, 0.000], [0.000, -2.064, 6.239]],
  "species": ["Co", "Co", "Co", "Co", "Co", "Li"],
  "frac_coords": [[0.000, 0.661, 0.322], [0.000, 0.339, 0.678], [0.500, 0.500, 0.000], [0.500, 0.175, 0.351], [0.500, 0.825, 0.649], [0.000, 0.000, 0.000]]
}

***

(4)
{
  "formula": "YGePt2",
  "functional": "GGA-PBE",
  "state": "optimized geometry",
  "dft_energy_ev_per_cell": -51.0,
  "magmom_total_mub_per_cell": 0.0,
  "spacegroup": "I-42d",
  "e_form_kcal_per_mol_atoms": -13.40,
  "crystal_system": "tetragonal",
  "lattice": [[-1.696, 4.613, 0.045], [-4.507, -1.647, -1.063], [-4.660, 0.836, 7.099]],
  "species": ["Y", "Y", "Ge", "Ge", "Pt", "Pt", "Pt", "Pt"],
  "frac_coords": [[0.000, 0.000, 0.000], [0.750, 0.250, 0.500], [0.500, 0.500, 0.000], [0.250, 0.750, 0.500], [0.528, 0.125, 0.250], [0.222, 0.625, 0.250], [0.375, 0.472, 0.750], [0.875, 0.778, 0.750]]
}